The following is a PBE-GGA calculation of a relaxed structure of InSn2S5, from Alexandria.

- raw formation energy (eV per atom) = -0.325
- calculated total energy (eV/atom) = -4.248
- D(E_F) (states/eV per atom) = 0.152

abc: 5.165 6.845 12.861
angles: 90.00 90.00 112.17
Atoms (fractional coordinates):
S 0.946 0.892 0.881
S 0.680 0.360 0.574
S 0.778 0.555 0.250
S 0.946 0.892 0.619
S 0.054 0.108 0.119
S 0.054 0.108 0.381
S 0.320 0.640 0.074
S 0.320 0.640 0.426
S 0.680 0.360 0.926
S 0.222 0.445 0.750
In 0.787 0.575 0.750
In 0.213 0.425 0.250
Sn 0.139 0.279 0.556
Sn 0.861 0.721 0.056
Sn 0.139 0.279 0.944
Sn 0.861 0.721 0.444